No. 1
An optimized crystal structure of CoSeN2F. Source: Alexandria, functional PBE with a Hubbard U.

```
data_CoSeN2F
_chemical_formula_sum 'Co1 Se1 N2 F1'
_cell_length_a 3.906
_cell_length_b 3.906
_cell_length_c 4.002
_cell_angle_alpha 90.00
_cell_angle_beta 90.00
_cell_angle_gamma 90.00
_symmetry_space_group_name_H-M 'P 1'
_symmetry_Int_Tables_number 1
_symmetry_space_group_name_Hall 'P 1'
loop_
_atom_site_label
_atom_site_fract_x
_atom_site_fract_y
_atom_site_fract_z
Co1 0.000 0.000 0.000
Se1 0.500 0.500 0.500
N1 0.000 0.500 0.500
N2 0.500 0.000 0.500
F1 0.500 0.500 0.000
```

Values from the calculation:
* distance to the lowest polymorph of the same formula: 110 kJ/mol of formula units
* space-group type: P4/mmm, No. 123
* M_tot: 2.94 μB per cell

***

No. 2
An optimized crystal structure of Mn2SiHgF. Source: Alexandria, functional PBE with a Hubbard U.

```
data_Mn2SiHgF
_chemical_formula_sum 'Mn2 Si1 Hg1 F1'
_cell_length_a 5.079
_cell_length_b 5.079
_cell_length_c 3.968
_cell_angle_alpha 90.00
_cell_angle_beta 90.00
_cell_angle_gamma 90.00
_symmetry_space_group_name_H-M 'P 1'
_symmetry_Int_Tables_number 1
_symmetry_space_group_name_Hall 'P 1'
loop_
_atom_site_label
_atom_site_fract_x
_atom_site_fract_y
_atom_site_fract_z
Mn1 0.000 0.500 0.000
Mn2 0.500 0.000 0.000
Si1 0.000 0.000 0.000
Hg1 0.500 0.500 0.500
F1 0.000 0.000 0.500
```

Values from the calculation:
* space-group type: P4/mmm, No. 123
* M_tot: 9.11 μB per cell
* uncorrected energy: -4.630 eV/atom

***

Which of these has the lowest M_tot? CoSeN2F

***

Look up the M_tot of the first one. 2.94 μB per cell

***

What is the formula in the first record? CoSeN2F